Record 1
This record from Alexandria describes a geometry-optimized Zn4Ir5 structure. The functional is PBE-GGA.

Unit cell a=6.1018 b=6.1018 c=6.1018 alpha=95.97 beta=95.97 gamma=142.36
Fractional positions:
Zn1 0.6777 0.0000 0.6777
Zn2 0.3223 0.0000 0.3223
Zn3 0.0000 0.3223 0.3223
Zn4 0.0000 0.6777 0.6777
Ir1 0.0000 0.0000 0.0000
Ir2 0.6663 0.3337 0.0000
Ir3 0.3337 0.6663 0.0000
Ir4 0.3337 0.3337 0.6675
Ir5 0.6663 0.6663 0.3325

SG: No. 139
Energy above the lowest structure with this stoichiometry in eV/atom: 0.0000
Crystal system: tetragonal
Total moment in μB per cell: 0.00

Record 2
This record from Alexandria describes a geometry-optimized ZnIr2 structure. The functional is PBE-GGA.

Unit cell a=2.7572 b=7.1408 c=4.4671 alpha=90.00 beta=90.00 gamma=78.87
Fractional positions:
Ir1 0.9983 0.0034 0.0000
Ir2 0.2239 0.5521 0.5000
Ir3 0.5551 0.8898 0.5000
Ir4 0.6671 0.6657 0.0000
Zn1 0.3337 0.3326 0.0000
Zn2 0.8885 0.2230 0.5000

SG: No. 63
Crystal system: orthorhombic
Electronic total energy in eV per cell: -38.28
Total moment in μB per cell: 0.00